Model A:
DFT (GGA-PBE) results for a relaxed CdTcMo2P crystal.

Output
Total magnetization ... 0.00 μB/f.u.
Symmetry ... P4/mmm, No. 123

Structure (POSCAR):
```
CdTcMo2P
1.0
4.857 0.000 0.000
0.000 4.857 0.000
0.000 0.000 4.807
Cd Tc Mo P
1 1 2 1
direct
0.000 0.000 0.000
0.000 0.000 0.500
0.000 0.500 0.000
0.500 0.000 0.000
0.500 0.500 0.500
```

=====

Model B:
DFT (GGA-PBE) results for a relaxed CdTcMo2P crystal.

Output
Total magnetization ... 1.87 μB/f.u.
Symmetry ... P4/mmm, No. 123

Structure (POSCAR):
```
CdTcMo2P
1.0
4.688 0.000 0.000
0.000 4.688 0.000
0.000 0.000 5.110
Cd Tc Mo P
1 1 2 1
direct
0.000 0.000 0.000
0.000 0.000 0.500
0.000 0.500 0.500
0.500 0.000 0.500
0.500 0.500 0.000
```

=====

Verdict on stability: model A comes out at the bottom.

=====

Model A:
DFT (GGA-PBE) results for a relaxed Pa2CdMo crystal.

Output
Total magnetization ... 0.00 μB/f.u.
Symmetry ... R-3m, No. 166

Structure (POSCAR):
```
Pa2CdMo
1.0
1.565 0.904 11.266
-1.565 0.904 11.266
0.000 -1.808 11.266
Pa Cd Mo
2 1 1
direct
0.098 0.098 0.098
0.902 0.902 0.902
0.000 0.000 0.000
0.500 0.500 0.500
```

=====

Model B:
DFT (GGA-PBE) results for a relaxed Pa2CdMo crystal.

Output
Total magnetization ... 0.00 μB/f.u.
Symmetry ... P4/mmm, No. 123

Structure (POSCAR):
```
Pa2CdMo
1.0
3.220 0.000 0.000
0.000 3.220 0.000
0.000 0.000 8.947
Pa Cd Mo
2 1 1
direct
0.000 0.000 0.211
0.000 0.000 0.789
0.500 0.500 0.500
0.500 0.500 0.000
```

=====

Verdict on stability: model A comes out at the bottom.

=====

Model A:
DFT (GGA-PBE) results for a relaxed CdMo2Pb crystal.

Output
Total magnetization ... 0.00 μB/f.u.
Symmetry ... Cmmm, No. 65

Structure (POSCAR):
```
CdMo2Pb
1.0
1.734 -2.355 0.000
1.734 2.355 0.000
0.000 0.000 9.423
Cd Mo Pb
1 2 1
direct
0.000 0.000 0.000
0.500 0.500 0.248
0.500 0.500 0.752
0.000 0.000 0.500
```

=====

Model B:
DFT (GGA-PBE) results for a relaxed CdMo2Pb crystal.

Output
Total magnetization ... 0.44 μB/f.u.
Symmetry ... Cmmm, No. 65

Structure (POSCAR):
```
CdMo2Pb
1.0
2.906 -4.545 0.000
2.906 4.545 0.000
0.000 0.000 2.893
Cd Mo Pb
1 2 1
direct
0.000 0.000 0.000
0.000 0.500 0.500
0.500 0.000 0.500
0.500 0.500 0.000
```

=====

Verdict on stability: model B comes out at the bottom.